No. 1
SrEr3Cd4 | Alexandria | GGA-PBE | relaxed; formation energy from the elements = -0.285 eV per atom; total magnetization = 0.000 μB per atom
1.0
5.336 0.000 0.000
0.000 7.627 0.000
0.000 0.000 10.671
Cd Sr Er
8 2 6
Cartesian
2.668 1.785 0.000
5.329 5.842 2.668
2.668 5.842 0.000
0.006 1.785 8.003
2.668 5.842 5.336
0.006 5.842 8.003
5.329 1.785 2.668
2.668 1.785 5.336
0.000 3.813 0.000
0.000 3.813 5.336
0.000 0.000 5.336
2.674 0.000 8.003
2.663 3.813 2.668
2.672 3.813 8.003
0.000 0.000 0.000
2.661 0.000 2.668



No. 2
K2RePt | Alexandria | GGA-PBE | relaxed; formation energy from the elements = 1.048 eV per atom; total magnetization = 0.732 μB per atom
1.0
-2.843 -10.528 -5.047
1.480 -5.478 10.592
-3.016 -7.623 3.295
Re Pt K
2 2 4
Cartesian
-1.109 -10.552 8.330
-0.682 -8.003 2.773
-3.271 -13.077 0.510
0.000 0.000 0.000
-2.551 -15.407 2.612
-3.022 -10.801 2.774
-4.687 -15.163 -1.492
-2.823 -10.936 -1.853



No. 3
CeTeSe | Alexandria | GGA-PBE | relaxed; total magnetization = 0.000 μB per atom; formation energy without anion corrections = -1.30 eV/atom
1.0
-0.279 0.042 5.079
-2.998 -3.329 2.410
2.060 -3.793 2.692
Se Te Ce
1 1 1
Cartesian
-0.608 -3.540 5.091
0.000 0.000 0.000
-0.304 -1.770 2.545



No. 4
ScMnTl2 | Alexandria | GGA-PBE | relaxed; formation energy from the elements = 0.149 eV per atom; total magnetization = 0.770 μB per atom
1.0
5.104 -0.041 0.126
3.907 3.285 0.126
1.392 0.501 5.327
Tl Mn Sc
2 1 1
Cartesian
1.461 0.526 5.240
5.133 1.848 2.877
7.803 2.809 4.185
2.601 0.936 1.395



No. 5
PrYH | Alexandria | GGA-PBE | relaxed; DFT total energy = -0.37342 Ry/atom; total magnetization = 0.000 μB per atom
1.0
-0.670 2.548 -2.590
-2.536 -2.579 0.754
-2.353 3.497 4.048
Y Pr H
1 1 1
Cartesian
-3.248 1.113 1.935
-0.201 0.298 0.345
-2.110 2.055 -0.068



No. 6
TiZnAg2 | Alexandria | GGA-PBE | relaxed; formation energy from the elements = 0.057 eV per atom; total magnetization = 0.000 μB per atom
1.0
2.884 0.000 0.000
1.442 2.498 0.000
1.442 0.833 9.375
Ti Ag Zn
1 2 1
Cartesian
2.884 1.665 4.691
1.442 0.833 7.093
1.442 0.833 2.282
4.326 2.498 9.372



No. 7
CaMn2H2 | Alexandria | GGA-PBE | relaxed; DFT total energy = -0.34997 Ry/atom; total magnetization = 0.649 μB per atom
1.0
6.551 0.000 0.000
0.000 6.551 0.000
0.000 0.000 2.845
H Mn Ca
4 4 2
Cartesian
2.578 5.853 0.000
5.853 3.973 0.000
3.973 0.698 0.000
0.698 2.578 0.000
3.970 5.856 1.423
5.856 2.580 1.423
2.580 0.695 1.423
0.695 3.970 1.423
0.000 0.000 0.000
3.275 3.275 0.000



No. 8
NdSm2I6 | Alexandria | GGA-PBE | relaxed; total magnetization = 0.001 μB per atom; formation energy without anion corrections = -1.22 eV/atom
1.0
7.674 0.000 0.000
3.837 6.646 0.000
3.837 2.215 7.197
I Nd Sm
6 1 2
Cartesian
9.069 6.630 1.426
6.415 6.743 4.968
6.300 2.184 4.968
10.306 4.364 4.968
5.071 4.539 1.426
8.880 2.122 1.426
7.674 4.430 6.766
7.674 4.430 3.209
11.511 6.646 6.846



No. 9
LiTc3 | Alexandria | GGA-PBE | relaxed; formation energy from the elements = 0.331 eV per atom; total magnetization = 0.000 μB per atom
1.0
4.915 -0.012 0.000
-2.195 4.398 0.000
0.000 0.000 2.618
Li Tc
1 3
Cartesian
0.000 0.000 0.000
-1.097 2.199 1.309
2.458 -0.006 1.309
1.360 2.193 0.000



No. 10
VAg | Alexandria | GGA-PBE | relaxed; formation energy from the elements = 1.427 eV per atom; total magnetization = 1.530 μB per atom
1.0
4.557 0.000 0.000
-2.279 3.947 0.000
0.000 0.000 5.404
V Ag
2 2
Cartesian
2.279 1.316 4.053
0.000 2.631 1.351
0.000 2.631 4.053
2.279 1.316 1.351



No. 11
KRbNa2Pb | Alexandria | GGA-PBE | relaxed; formation energy from the elements = 0.027 eV per atom; total magnetization = 0.000 μB per atom
1.0
6.243 0.000 0.000
0.000 6.243 0.000
0.000 0.000 6.996
Pb Na Rb K
1 2 1 1
Cartesian
0.000 0.000 0.000
3.122 0.000 0.000
0.000 3.122 0.000
0.000 0.000 3.498
3.122 3.122 3.498



No. 12
Na2MgTaS4 | Alexandria | GGA-PBE | relaxed; total magnetization = 0.127 μB per atom; formation energy without anion corrections = -1.03 eV/atom
1.0
-4.235 -4.160 -3.496
-0.532 1.469 6.710
0.053 6.876 -0.432
S Mg Na Ta
4 1 2 1
Cartesian
-4.359 -2.186 0.440
-2.254 5.090 3.900
-0.237 4.325 0.803
-2.577 1.140 0.421
-2.211 3.444 -0.394
-2.503 0.741 3.176
0.000 0.000 0.000
-0.239 4.172 3.139